(1)
CsSr2Tl | meta-GGA SCAN | single point on PBEsol structure

Lattice parameters (Å, degrees): 8.496 8.496 8.496 90.00 90.00 90.00
Space group Fm-3m (No. 225)
Inequivalent atoms, fractional coordinates:
Cs 0.000 0.000 0.000 x4
Sr 0.250 0.250 0.250 x8
Tl 0.000 0.000 0.500 x4

Output
Energy of formation from the pure elements, eV per atom: -0.15
DFT total energy, eV/atom: -38.831

---

(2)
ScNiB4 | meta-GGA SCAN | single point on PBEsol structure

Lattice parameters (Å, degrees): 5.757 11.183 3.202 90.00 90.00 90.00
Space group Pbam (No. 55)
Inequivalent atoms, fractional coordinates:
Sc 0.127 0.151 0.000 x4
Ni 0.135 0.412 0.000 x4
B 0.021 0.694 0.500 x4
B 0.116 0.549 0.500 x4
B 0.134 0.967 0.500 x4
B 0.211 0.813 0.500 x4

Output
Energy of formation from the pure elements, eV per atom: -0.62
DFT total energy, eV/atom: -10.644

---

(3)
Be4NiRu | meta-GGA SCAN | single point on PBEsol structure

Lattice parameters (Å, degrees): 5.962 5.962 5.962 90.00 90.00 90.00
Space group F-43m (No. 216)
Inequivalent atoms, fractional coordinates:
Be 0.125 0.125 0.125 x16
Ni 0.000 0.000 0.500 x4
Ru 0.250 0.250 0.750 x4

Output
Energy of formation from the pure elements, eV per atom: -0.35
DFT total energy, eV/atom: -11.748

---

(4)
BIrNF2 | meta-GGA SCAN | single point on PBEsol structure

Lattice parameters (Å, degrees): 4.258 4.258 3.666 90.00 90.00 90.00
Space group P4/mmm (No. 123)
Inequivalent atoms, fractional coordinates:
B 0.000 0.000 0.000 x1
Ir 0.500 0.500 0.500 x1
N 0.500 0.500 0.000 x1
F 0.000 0.500 0.500 x2

Output
Raw formation energy, meV per atom: 579
DFT total energy, eV/atom: -18.400

---

(5)
Li2CuP2O7 | meta-GGA SCAN | single point on PBEsol structure

Lattice parameters (Å, degrees): 4.952 13.019 9.049 90.00 118.84 90.00
Space group P2_1/c (No. 14)
Inequivalent atoms, fractional coordinates:
Li 0.047 0.115 0.369 x4
Li 0.430 0.207 0.177 x4
Cu 0.053 0.150 0.758 x4
P 0.252 0.669 0.523 x4
P 0.483 0.524 0.779 x4
O 0.015 0.178 0.154 x4
O 0.180 0.721 0.654 x4
O 0.231 0.532 0.832 x4
O 0.270 0.110 0.637 x4
O 0.308 0.550 0.576 x4
O 0.382 0.581 0.205 x4
O 0.440 0.209 0.957 x4

Output
ΔE to the lowest computed polymorph, meV/atom: 28
Raw formation energy, meV per atom: -2265
DFT total energy, eV/atom: -9.297

---

(6)
ZrZnRe2 | meta-GGA SCAN | single point on PBEsol structure

Lattice parameters (Å, degrees): 3.023 3.023 7.051 90.00 90.00 90.00
Space group P4mm (No. 99)
Inequivalent atoms, fractional coordinates:
Zr 0.000 0.000 0.000 x1
Zn 0.500 0.500 0.722 x1
Re 0.000 0.000 0.489 x1
Re 0.500 0.500 0.286 x1

Output
Energy of formation from the pure elements, eV per atom: -0.12
DFT total energy, eV/atom: -46.720

---

(7)
SrSm2Se4 | meta-GGA SCAN | single point on PBEsol structure

Lattice parameters (Å, degrees): 8.847 8.847 8.824 90.00 90.00 90.00
Space group I-42d (No. 122)
Inequivalent atoms, fractional coordinates:
Sr 0.000 0.000 0.000 x4
Sm 0.127 0.750 0.625 x8
Se 0.077 0.671 0.943 x16

Output
Raw formation energy, meV per atom: -2177
DFT total energy, eV/atom: -29.530

---

(8)
Rb3NbCo | meta-GGA SCAN | single point on PBEsol structure

Lattice parameters (Å, degrees): 6.234 6.234 6.234 90.00 90.00 90.00
Space group Pm-3m (No. 221)
Inequivalent atoms, fractional coordinates:
Rb 0.000 0.000 0.500 x3
Nb 0.500 0.500 0.500 x1
Co 0.000 0.000 0.000 x1

Output
Energy of formation from the pure elements, eV per atom: 1.41
DFT total energy, eV/atom: -21.116

---

(9)
RbBa3Cr | meta-GGA SCAN | single point on PBEsol structure

Lattice parameters (Å, degrees): 6.577 6.577 6.577 90.00 90.00 90.00
Space group Pm-3m (No. 221)
Inequivalent atoms, fractional coordinates:
Rb 0.000 0.000 0.000 x1
Ba 0.000 0.500 0.500 x3
Cr 0.500 0.500 0.500 x1

Output
Energy of formation from the pure elements, eV per atom: 0.35
DFT total energy, eV/atom: -31.201

---

(10)
CrGaO2 | meta-GGA SCAN | single point on PBEsol structure

Lattice parameters (Å, degrees): 2.9567 2.9567 17.8356 90.00 90.00 120.00
Space group R-3m (No. 166, hexagonal axes)
Inequivalent atoms, fractional coordinates:
Cr 0.0000 0.0000 0.0000 x3
Ga 0.0000 0.0000 0.5000 x3
O 0.0000 0.0000 0.1093 x6

Output
Raw formation energy, meV per atom: -1595
DFT total energy, eV/atom: -13.393

---

(11)
Hf7Au10 | meta-GGA SCAN | single point on PBEsol structure

Lattice parameters (Å, degrees): 13.170 9.728 9.741 90.00 90.00 90.00
Space group Cmce (No. 64)
Inequivalent atoms, fractional coordinates:
Hf 0.000 0.000 0.000 x4
Hf 0.000 0.188 0.310 x8
Hf 0.190 0.000 0.500 x8
Hf 0.250 0.244 0.250 x8
Au 0.000 0.105 0.602 x8
Au 0.146 0.005 0.792 x16
Au 0.147 0.206 0.002 x16

Output
Energy of formation from the pure elements, eV per atom: -0.80
DFT total energy, eV/atom: -67.286

---

(12)
Sr2CaMg | meta-GGA SCAN | single point on PBEsol structure

Lattice parameters (Å, degrees): 4.138 4.138 9.554 90.00 90.00 90.00
Space group P4/mmm (No. 123)
Inequivalent atoms, fractional coordinates:
Sr 0.000 0.000 0.213 x2
Ca 0.500 0.500 0.500 x1
Mg 0.500 0.500 0.000 x1

Output
Energy of formation from the pure elements, eV per atom: -0.01
DFT total energy, eV/atom: -14.806

---

(13)
La3Ni2O7 | meta-GGA SCAN | single point on PBEsol structure

Lattice parameters (Å, degrees): 19.910 5.399 5.357 90.00 90.00 90.00
Space group Cmcm (No. 63)
Inequivalent atoms, fractional coordinates:
La 0.000 0.247 0.250 x4
La 0.178 0.257 0.250 x8
Ni 0.097 0.249 0.750 x8
O 0.000 0.219 0.750 x4
O 0.091 0.500 0.000 x8
O 0.101 0.000 0.000 x8
O 0.203 0.274 0.750 x8

Output
Raw formation energy, meV per atom: -2854
DFT total energy, eV/atom: -19.960

---

(14)
BWBr3 | meta-GGA SCAN | single point on PBEsol structure

Lattice parameters (Å, degrees): 5.049 5.049 5.049 90.00 90.00 90.00
Space group Pm-3m (No. 221)
Inequivalent atoms, fractional coordinates:
B 0.000 0.000 0.000 x1
W 0.500 0.500 0.500 x1
Br 0.000 0.500 0.500 x3

Output
Raw formation energy, meV per atom: 1255
DFT total energy, eV/atom: -25.844

---

(15)
TiPtIN2 | meta-GGA SCAN | single point on PBEsol structure

Lattice parameters (Å, degrees): 3.796 3.796 6.861 90.00 90.00 90.00
Space group P4/mmm (No. 123)
Inequivalent atoms, fractional coordinates:
Ti 0.000 0.000 0.000 x1
Pt 0.500 0.500 0.500 x1
I 0.500 0.500 0.000 x1
N 0.000 0.500 0.500 x2

Output
Raw formation energy, meV per atom: 1135
DFT total energy, eV/atom: -27.174

---

(16)
Sr5Ti2N6 | meta-GGA SCAN | single point on PBEsol structure

Lattice parameters (Å, degrees): 10.529 6.804 13.481 90.00 102.16 90.00
Space group C2/c (No. 15)
Inequivalent atoms, fractional coordinates:
Sr 0.000 0.147 0.250 x4
Sr 0.038 0.238 0.002 x8
Sr 0.157 0.375 0.722 x8
Ti 0.224 0.393 0.429 x8
N 0.054 0.487 0.376 x8
N 0.147 0.023 0.644 x8
N 0.211 0.108 0.425 x8

Output
Raw formation energy, meV per atom: -1292
DFT total energy, eV/atom: -16.613

---

(17)
InHg3 | meta-GGA SCAN | single point on PBEsol structure

Lattice parameters (Å, degrees): 3.253 4.999 5.965 90.00 98.47 90.00
Space group P2/m (No. 10)
Inequivalent atoms, fractional coordinates:
In 0.000 0.000 0.000 x1
Hg 0.251 0.500 0.747 x2
Hg 0.500 0.000 0.500 x1

Output
Energy of formation from the pure elements, eV per atom: 0.02
DFT total energy, eV/atom: -59.448

---

(18)
CsSb2Pb2 | meta-GGA SCAN | single point on PBEsol structure

Lattice parameters (Å, degrees): 9.578 9.578 3.652 90.00 90.00 90.00
Space group P4/mbm (No. 127)
Inequivalent atoms, fractional coordinates:
Cs 0.000 0.000 0.000 x2
Sb 0.159 0.341 0.500 x4
Pb 0.123 0.623 0.000 x4

Output
ΔE to the lowest computed polymorph, meV/atom: 98
Raw formation energy, meV per atom: -134
DFT total energy, eV/atom: -52.913

---

(19)
BeInCl2 | meta-GGA SCAN | single point on PBEsol structure

Lattice parameters (Å, degrees): 11.019 3.109 5.493 90.00 113.31 90.00
Space group Cm (No. 8)
Inequivalent atoms, fractional coordinates:
Be 0.000 0.000 0.000 x2
In 0.279 0.000 0.555 x2
Cl 0.102 0.500 0.892 x2
Cl 0.431 0.000 0.186 x2

Output
ΔE to the lowest computed polymorph, meV/atom: 193
Raw formation energy, meV per atom: -662
DFT total energy, eV/atom: -14.086

---

(20)
Si2Ag | meta-GGA SCAN | single point on PBEsol structure

Lattice parameters (Å, degrees): 3.506 3.506 4.159 90.00 90.00 90.00
Space group P4/mmm (No. 123)
Inequivalent atoms, fractional coordinates:
Si 0.000 0.500 0.000 x2
Ag 0.000 0.000 0.500 x1

Output
ΔE to the lowest computed polymorph, meV/atom: 0
Raw formation energy, meV per atom: 411
DFT total energy, eV/atom: -16.722

---

(21)
Ta2MoW | meta-GGA SCAN | single point on PBEsol structure

Lattice parameters (Å, degrees): 3.197 4.582 8.945 90.00 90.00 90.00
Space group Immm (No. 71)
Inequivalent atoms, fractional coordinates:
Ta 0.000 0.000 0.248 x4
Mo 0.000 0.500 0.500 x2
W 0.000 0.500 0.000 x2

Output
Energy of formation from the pure elements, eV per atom: -0.10
DFT total energy, eV/atom: -59.534